No. 1
The following is a DFT calculation (PBE-GGA) of a geometry-optimized Mg3InPb structure.

Properties
The energy relative to the elements comes out at -24 meV/atom. The energy relative to the lowest polymorph listed for this composition comes out at 0 meV per atom. The calculation puts the electronic total energy at -0.083 hartree per atom.

Lattice parameters (Å, degrees): 4.850 6.154 8.520 90.00 90.00 90.00
Atoms (fractional coordinates):
1 Mg 0.250 0.004 0.246
2 Mg 0.250 0.496 0.246
3 Mg 0.250 0.750 0.577
4 Mg 0.750 0.250 0.423
5 Mg 0.750 0.504 0.754
6 Mg 0.750 0.996 0.754
7 In 0.250 0.250 0.623
8 In 0.750 0.750 0.377
9 Pb 0.250 0.750 0.933
10 Pb 0.750 0.250 0.067

No. 2
The following is a DFT calculation (PBE-GGA) of a geometry-optimized Tl2HgSb structure.

Properties
The value obtained for the formation energy from raw total energies is 0.05 eV per atom. The energy relative to the lowest polymorph listed for this composition comes out at 62 meV per atom. The calculation puts the electronic total energy at -0.082 hartree per atom.

Lattice parameters (Å, degrees): 11.342 3.423 6.097 90.00 99.48 90.00
Atoms (fractional coordinates):
1 Tl 0.247 0.000 0.251
2 Tl 0.253 0.500 0.749
3 Tl 0.747 0.500 0.251
4 Tl 0.753 0.000 0.749
5 Hg 0.000 0.000 0.500
6 Hg 0.500 0.500 0.500
7 Sb 0.000 0.500 0.000
8 Sb 0.500 0.000 0.000

What is the energy relative to the lowest polymorph listed for this composition in the second record? 62 meV per atom

The lowest energy relative to the lowest polymorph listed for this composition belongs to which entry? Mg3InPb

Number 1 is which compound? Mg3InPb